DFT (PBE) results for a geometry-optimized Ba3Al structure.

```
Ba3Al
1.0
8.211 0.000 0.000
-4.106 7.111 0.000
0.000 0.000 6.020
Ba Al
6 2
Cartesian
0.000 2.567 1.505
-1.882 5.827 1.505
2.223 1.284 4.515
1.882 5.827 1.505
5.988 1.284 4.515
4.106 4.544 4.515
0.000 4.741 4.515
4.106 2.370 1.505
```

Properties
Total moment   0.01 μB/f.u.
Symmetry   P6_3/mmc
Total energy   -2.355 eV/atom

DFT (PBE) results for a geometry-optimized Ba5Al3 structure.

```
Ba5Al3
1.0
4.540 -5.982 0.000
4.540 5.982 0.000
0.000 0.000 5.896
Ba Al
5 3
Cartesian
0.000 0.000 0.000
2.270 2.991 0.000
2.671 0.000 2.948
2.270 -2.991 0.000
6.409 0.000 2.948
4.540 3.361 2.948
4.540 0.000 0.000
4.540 -3.361 2.948
```

Properties
Total moment   0.00 μB/f.u.
Symmetry   Cmmm
Total energy   -2.562 eV/atom

DFT (PBE) results for a geometry-optimized Ba3Al2 structure.

```
Ba3Al2
1.0
0.000 12.006 2.266
7.395 0.000 2.266
7.395 12.006 0.000
Ba Al
6 4
Cartesian
0.000 0.000 0.000
9.149 9.037 2.090
3.698 6.003 1.133
5.642 14.974 2.090
9.340 15.040 3.223
5.451 8.971 3.223
10.770 12.576 1.261
7.072 5.432 2.394
4.021 11.435 1.261
7.719 18.579 2.394
```

Properties
Energy above the most stable polymorph in this dataset   0.105 eV/atom
Total moment   0.00 μB/f.u.
Symmetry   Fdd2
Total energy   -2.647 eV/atom

DFT (PBE) results for a geometry-optimized BaAl structure.

```
BaAl
1.0
6.844 -2.139 0.000
6.844 2.139 0.000
-3.157 0.000 7.195
Ba Al
3 3
Cartesian
0.000 0.000 0.000
-1.604 0.000 3.871
3.417 0.000 1.031
2.025 0.000 4.478
7.979 0.000 2.891
7.454 0.000 5.529
```

Properties
Total moment   0.00 μB/f.u.
Symmetry   Cm
Total energy   -2.918 eV/atom

DFT (PBE) results for a geometry-optimized BaAl structure.

```
BaAl
1.0
3.001 1.732 4.345
-3.001 1.732 4.345
0.000 -3.465 4.345
Ba Al
2 2
Cartesian
0.000 0.000 1.871
0.000 0.000 11.164
0.000 0.000 5.229
0.000 0.000 7.805
```

Properties
Total moment   0.00 μB/f.u.
Symmetry   R-3m
Total energy   -2.716 eV/atom

DFT (PBE) results for a geometry-optimized BaAl structure.

```
BaAl
1.0
12.063 0.000 0.000
0.000 12.063 0.000
0.000 0.000 4.555
Ba Al
8 8
Cartesian
0.206 2.713 0.000
2.713 11.857 0.000
3.463 7.949 2.277
4.114 3.463 2.277
7.949 8.599 2.277
8.599 4.114 2.277
9.349 0.206 0.000
11.857 9.349 0.000
0.870 5.015 2.277
1.373 6.355 0.000
5.015 11.192 2.277
5.708 1.373 0.000
6.355 10.689 0.000
7.048 0.870 2.277
10.689 5.708 0.000
11.192 7.048 2.277
```

Properties
Total moment   0.16 μB/f.u.
Symmetry   P4/m
Total energy   -2.820 eV/atom